Record 1
# Ag2RhBr, optimized geometry, DFT PBEsol
# energy relative to the elements, uncorrected	288.2	meV/atom
data_Ag2RhBr
_chemical_formula_sum 'Ag4 Rh2 Br2'
_cell_length_a 2.989
_cell_length_b 4.401
_cell_length_c 11.823
_cell_angle_alpha 90.00
_cell_angle_beta 90.00
_cell_angle_gamma 90.00
_symmetry_space_group_name_H-M 'I m m 2'
_symmetry_Int_Tables_number 44
_symmetry_space_group_name_Hall 'I 2 -2'
loop_
_atom_site_label
_atom_site_type_symbol
_atom_site_fract_x
_atom_site_fract_y
_atom_site_fract_z
_atom_site_occupancy
Ag1 Ag 0.000 0.000 0.000 1
Ag2 Ag 0.000 0.500 0.139 1
Rh1 Rh 0.000 0.000 0.442 1
Br1 Br 0.000 0.500 0.780 1



Record 2
# Ag2RhBr, optimized geometry, DFT PBEsol
# energy relative to the elements, uncorrected	351.6	meV/atom
data_Ag2RhBr
_chemical_formula_sum 'Ag2 Rh1 Br1'
_cell_length_a 3.036
_cell_length_b 3.036
_cell_length_c 7.469
_cell_angle_alpha 90.00
_cell_angle_beta 90.00
_cell_angle_gamma 90.00
_symmetry_space_group_name_H-M 'P 4 m m'
_symmetry_Int_Tables_number 99
_symmetry_space_group_name_Hall 'P 4 -2'
loop_
_atom_site_label
_atom_site_type_symbol
_atom_site_fract_x
_atom_site_fract_y
_atom_site_fract_z
_atom_site_occupancy
Ag1 Ag 0.000 0.000 0.000 1
Ag2 Ag 0.500 0.500 0.241 1
Rh1 Rh 0.500 0.500 0.763 1
Br1 Br 0.000 0.000 0.544 1



Record 3
# Tl2AgRhBr, optimized geometry, DFT PBEsol
# energy relative to the elements, uncorrected	297.0	meV/atom
data_Tl2AgRhBr
_chemical_formula_sum 'Tl2 Ag1 Rh1 Br1'
_cell_length_a 5.241
_cell_length_b 5.241
_cell_length_c 4.885
_cell_angle_alpha 90.00
_cell_angle_beta 90.00
_cell_angle_gamma 90.00
_symmetry_space_group_name_H-M 'P 4/m m m'
_symmetry_Int_Tables_number 123
_symmetry_space_group_name_Hall '-P 4 2'
loop_
_atom_site_label
_atom_site_type_symbol
_atom_site_fract_x
_atom_site_fract_y
_atom_site_fract_z
_atom_site_occupancy
Tl1 Tl 0.000 0.500 0.000 1
Ag1 Ag 0.000 0.000 0.500 1
Rh1 Rh 0.500 0.500 0.000 1
Br1 Br 0.500 0.500 0.500 1



Record 4
# AgRuBr, optimized geometry, DFT PBEsol
# energy relative to the elements, uncorrected	815.1	meV/atom
data_AgRuBr
_chemical_formula_sum 'Ag1 Ru1 Br1'
_cell_length_a 4.3602
_cell_length_b 4.3602
_cell_length_c 3.0741
_cell_angle_alpha 90.00
_cell_angle_beta 90.00
_cell_angle_gamma 120.00
_symmetry_space_group_name_H-M 'P -6 m 2'
_symmetry_Int_Tables_number 187
_symmetry_space_group_name_Hall 'P -6 2'
loop_
_atom_site_label
_atom_site_type_symbol
_atom_site_fract_x
_atom_site_fract_y
_atom_site_fract_z
_atom_site_occupancy
Ag1 Ag 0.0000 0.0000 0.0000 1
Ru1 Ru 0.3333 0.6667 0.5000 1
Br1 Br 0.6667 0.3333 0.5000 1



Record 5
# AgSBr2, optimized geometry, DFT PBEsol
# energy relative to the elements, uncorrected	563.4	meV/atom
data_AgSBr2
_chemical_formula_sum 'Ag3 S3 Br6'
_cell_length_a 3.3708
_cell_length_b 3.3708
_cell_length_c 27.5060
_cell_angle_alpha 90.00
_cell_angle_beta 90.00
_cell_angle_gamma 120.00
_symmetry_space_group_name_H-M 'R -3 m'
_symmetry_Int_Tables_number 166
_symmetry_space_group_name_Hall '-R 3 2"'
loop_
_atom_site_label
_atom_site_type_symbol
_atom_site_fract_x
_atom_site_fract_y
_atom_site_fract_z
_atom_site_occupancy
Ag1 Ag 0.0000 0.0000 0.0000 1
S1 S 0.0000 0.0000 0.5000 1
Br1 Br 0.0000 0.0000 0.0898 1



Record 6
# AgSbBr2, optimized geometry, DFT PBEsol
# energy relative to the elements, uncorrected	137.3	meV/atom
data_AgSbBr2
_chemical_formula_sum 'Ag2 Sb2 Br4'
_cell_length_a 7.465
_cell_length_b 7.489
_cell_length_c 3.369
_cell_angle_alpha 90.00
_cell_angle_beta 90.00
_cell_angle_gamma 90.00
_symmetry_space_group_name_H-M 'C m m m'
_symmetry_Int_Tables_number 65
_symmetry_space_group_name_Hall '-C 2 2'
loop_
_atom_site_label
_atom_site_type_symbol
_atom_site_fract_x
_atom_site_fract_y
_atom_site_fract_z
_atom_site_occupancy
Ag1 Ag 0.000 0.000 0.000 1
Sb1 Sb 0.000 0.500 0.000 1
Br1 Br 0.250 0.250 0.500 1



Values of calculated volume, in order: 19.4 17.2 26.8 16.9 22.6 23.5, all in Å³ per atom.